{"formula": "Rb2SnBi2Pb", "functional": "GGA-PBE", "state": "relaxed", "formation_enthalpy_0k_mev_per_atom": -233.1, "lattice": [[-4.003, 8.246, 3.957], [4.003, -8.246, 3.957], [4.003, 8.246, -3.957]], "species": ["Rb", "Rb", "Rb", "Rb", "Sn", "Sn", "Bi", "Bi", "Bi", "Bi", "Pb", "Pb"], "fractional_positions": [[0.165, 0.247, 0.412], [0.335, 0.747, 0.081], [0.665, 0.253, 0.919], [0.835, 0.753, 0.588], [0.250, 0.250, 0.000], [0.750, 0.750, 0.000], [0.098, 0.763, 0.861], [0.402, 0.263, 0.666], [0.598, 0.737, 0.334], [0.902, 0.237, 0.139], [0.250, 0.750, 0.500], [0.750, 0.250, 0.500]]}

---

{"formula": "RbSn2BiPb", "functional": "GGA-PBE", "state": "relaxed", "formation_enthalpy_0k_mev_per_atom": -129.3, "lattice": [[-2.804, 2.804, 5.959], [2.804, -2.804, 5.959], [2.804, 2.804, -5.959]], "species": ["Rb", "Sn", "Sn", "Bi", "Pb"], "fractional_positions": [[0.000, 0.000, 0.000], [0.372, 0.372, 0.000], [0.628, 0.628, 0.000], [0.750, 0.250, 0.500], [0.250, 0.750, 0.500]]}

---

{"formula": "RbBi2TePb", "functional": "GGA-PBE", "state": "relaxed", "raw_formation_energy_ev_per_atom": 0.217, "lattice": [[6.046, 0.000, 0.000], [0.000, 6.046, 0.000], [0.000, 0.000, 6.226]], "species": ["Rb", "Bi", "Bi", "Te", "Pb"], "fractional_positions": [[0.000, 0.000, 0.000], [0.000, 0.500, 0.500], [0.500, 0.000, 0.500], [0.500, 0.500, 0.000], [0.500, 0.500, 0.500]]}

---

{"formula": "Rb2BiTe4Pb", "functional": "GGA-PBE", "state": "relaxed", "raw_formation_energy_ev_per_atom": -0.521, "lattice": [[-4.812, 4.855, 6.833], [4.812, -4.855, 6.833], [4.812, 4.855, -6.833]], "species": ["Rb", "Rb", "Rb", "Rb", "Bi", "Bi", "Te", "Te", "Te", "Te", "Te", "Te", "Te", "Te", "Pb", "Pb"], "fractional_positions": [[0.000, 0.000, 0.000], [0.500, 0.000, 0.000], [0.500, 0.000, 0.500], [0.500, 0.500, 0.500], [0.000, 0.000, 0.500], [0.000, 0.500, 0.000], [0.207, 0.737, 0.470], [0.233, 0.263, 0.970], [0.234, 0.262, 0.528], [0.234, 0.706, 0.972], [0.766, 0.294, 0.028], [0.766, 0.738, 0.472], [0.767, 0.737, 0.030], [0.793, 0.263, 0.530], [0.000, 0.500, 0.500], [0.500, 0.500, 0.000]]}

---

{"formula": "RbTiBiPb2", "functional": "GGA-PBE", "state": "relaxed", "formation_enthalpy_0k_mev_per_atom": -70.0, "lattice": [[5.561, 0.000, 0.000], [0.000, 5.561, 0.000], [0.000, 0.000, 5.508]], "species": ["Rb", "Ti", "Bi", "Pb", "Pb"], "fractional_positions": [[0.000, 0.000, 0.000], [0.500, 0.500, 0.500], [0.500, 0.500, 0.000], [0.000, 0.500, 0.500], [0.500, 0.000, 0.500]]}

---

{"formula": "Rb2TlBi4Pb3", "functional": "GGA-PBE", "state": "relaxed", "formation_enthalpy_0k_mev_per_atom": -149.4, "lattice": [[5.436, 0.000, 0.000], [0.000, 5.436, 0.000], [0.000, 0.000, 13.696]], "species": ["Rb", "Rb", "Tl", "Bi", "Bi", "Bi", "Bi", "Pb", "Pb", "Pb"], "fractional_positions": [[0.000, 0.500, 0.246], [0.500, 0.000, 0.754], [0.000, 0.000, 0.500], [0.000, 0.000, 0.000], [0.000, 0.500, 0.633], [0.500, 0.000, 0.367], [0.500, 0.500, 0.000], [0.000, 0.500, 0.871], [0.500, 0.000, 0.129], [0.500, 0.500, 0.500]]}

---

{"formula": "Rb3Tl2Bi4Pb2", "functional": "GGA-PBE", "state": "relaxed", "formation_enthalpy_0k_mev_per_atom": -166.2, "lattice": [[5.431, 0.000, 0.000], [-2.716, 4.703, 0.000], [0.000, 0.000, 18.918]], "species": ["Rb", "Rb", "Rb", "Tl", "Tl", "Bi", "Bi", "Bi", "Bi", "Pb", "Pb"], "fractional_positions": [[0.000, 0.000, 0.000], [0.000, 0.000, 0.277], [0.000, 0.000, 0.723], [0.333, 0.667, 0.141], [0.667, 0.333, 0.859], [0.333, 0.667, 0.396], [0.333, 0.667, 0.861], [0.667, 0.333, 0.139], [0.667, 0.333, 0.604], [0.333, 0.667, 0.561], [0.667, 0.333, 0.439]]}

---

{"formula": "RbTl2BiPb", "functional": "GGA-PBE", "state": "relaxed", "formation_enthalpy_0k_mev_per_atom": -114.8, "lattice": [[-2.310, 2.845, 7.301], [2.310, -2.845, 7.301], [2.310, 2.845, -7.301]], "species": ["Rb", "Tl", "Tl", "Bi", "Pb"], "fractional_positions": [[0.000, 0.000, 0.000], [0.618, 0.618, 0.000], [0.775, 0.275, 0.500], [0.390, 0.390, 0.000], [0.241, 0.741, 0.500]]}

---

{"formula": "Rb2Tl3BiPb4", "functional": "GGA-PBE", "state": "relaxed", "formation_enthalpy_0k_mev_per_atom": -79.1, "lattice": [[5.192, 0.000, 0.000], [0.000, 5.192, 0.000], [0.000, 0.000, 14.222]], "species": ["Rb", "Rb", "Tl", "Tl", "Tl", "Bi", "Pb", "Pb", "Pb", "Pb"], "fractional_positions": [[0.000, 0.500, 0.247], [0.500, 0.000, 0.753], [0.000, 0.500, 0.862], [0.500, 0.000, 0.138], [0.500, 0.500, 0.500], [0.000, 0.000, 0.500], [0.000, 0.000, 0.000], [0.000, 0.500, 0.634], [0.500, 0.000, 0.366], [0.500, 0.500, 0.000]]}

---

{"formula": "RbTlBi2Pb2", "functional": "GGA-PBE", "state": "relaxed", "formation_enthalpy_0k_mev_per_atom": -131.3, "lattice": [[7.619, 0.000, 0.000], [0.000, 10.424, 0.000], [0.000, 0.000, 5.461]], "species": ["Rb", "Rb", "Tl", "Tl", "Bi", "Bi", "Bi", "Bi", "Pb", "Pb", "Pb", "Pb"], "fractional_positions": [[0.000, 0.000, 0.000], [0.500, 0.500, 0.500], [0.000, 0.500, 0.500], [0.500, 0.000, 0.000], [0.222, 0.332, 0.000], [0.278, 0.832, 0.500], [0.722, 0.168, 0.500], [0.778, 0.668, 0.000], [0.202, 0.661, 0.000], [0.298, 0.161, 0.500], [0.702, 0.839, 0.500], [0.798, 0.339, 0.000]]}

---

{"formula": "RbTlBiPb", "functional": "GGA-PBE", "state": "relaxed", "de_polymorph_kcal_per_mol_atoms": 0.00, "formation_enthalpy_0k_mev_per_atom": -83.0, "lattice": [[2.720, 1.570, 6.705], [-2.720, 1.570, 6.705], [0.000, -3.140, 6.705]], "species": ["Rb", "Tl", "Bi", "Pb"], "fractional_positions": [[0.000, 0.000, 0.000], [0.457, 0.457, 0.457], [0.204, 0.204, 0.204], [0.807, 0.807, 0.807]]}

---

{"formula": "RbTlBi2Pb", "functional": "GGA-PBE", "state": "relaxed", "formation_enthalpy_0k_mev_per_atom": -187.4, "lattice": [[-2.686, 2.686, 6.925], [2.686, -2.686, 6.925], [2.686, 2.686, -6.925]], "species": ["Rb", "Tl", "Bi", "Bi", "Pb"], "fractional_positions": [[0.000, 0.000, 0.000], [0.250, 0.750, 0.500], [0.387, 0.387, 0.000], [0.613, 0.613, 0.000], [0.750, 0.250, 0.500]]}

---

{"formula": "RbTlBiPb", "functional": "GGA-PBE", "state": "relaxed", "de_polymorph_kcal_per_mol_atoms": 0.91, "formation_enthalpy_0k_mev_per_atom": -43.7, "lattice": [[0.000, 4.143, 4.143], [4.143, 0.000, 4.143], [4.143, 4.143, 0.000]], "species": ["Rb", "Tl", "Bi", "Pb"], "fractional_positions": [[0.000, 0.000, 0.000], [0.750, 0.750, 0.750], [0.250, 0.250, 0.250], [0.500, 0.500, 0.500]]}

---

{"formula": "Rb2Tl6BiPb", "functional": "GGA-PBE", "state": "relaxed", "formation_enthalpy_0k_mev_per_atom": 10.7, "lattice": [[4.106, 2.371, 14.444], [-4.106, 2.371, 14.444], [0.000, -4.742, 14.444]], "species": ["Rb", "Rb", "Rb", "Rb", "Tl", "Tl", "Tl", "Tl", "Tl", "Tl", "Tl", "Tl", "Tl", "Tl", "Tl", "Tl", "Bi", "Bi", "Pb", "Pb"], "fractional_positions": [[0.100, 0.100, 0.100], [0.279, 0.279, 0.279], [0.721, 0.721, 0.721], [0.900, 0.900, 0.900], [0.074, 0.663, 0.663], [0.229, 0.229, 0.620], [0.229, 0.620, 0.229], [0.337, 0.337, 0.926], [0.337, 0.926, 0.337], [0.380, 0.771, 0.771], [0.620, 0.229, 0.229], [0.663, 0.074, 0.663], [0.663, 0.663, 0.074], [0.771, 0.380, 0.771], [0.771, 0.771, 0.380], [0.926, 0.337, 0.337], [0.424, 0.424, 0.424], [0.576, 0.576, 0.576], [0.000, 0.000, 0.000], [0.500, 0.500, 0.500]]}

---

{"formula": "Rb2TlBi3Pb4", "functional": "GGA-PBE", "state": "relaxed", "formation_enthalpy_0k_mev_per_atom": -143.9, "lattice": [[5.390, 0.000, 0.000], [0.000, 5.390, 0.000], [0.000, 0.000, 13.769]], "species": ["Rb", "Rb", "Tl", "Bi", "Bi", "Bi", "Pb", "Pb", "Pb", "Pb"], "fractional_positions": [[0.000, 0.500, 0.242], [0.500, 0.000, 0.758], [0.500, 0.500, 0.000], [0.000, 0.000, 0.000], [0.000, 0.500, 0.639], [0.500, 0.000, 0.361], [0.000, 0.000, 0.500], [0.000, 0.500, 0.870], [0.500, 0.000, 0.130], [0.500, 0.500, 0.500]]}

---

{"formula": "Rb2VBiPb", "functional": "GGA-PBE", "state": "relaxed", "formation_enthalpy_0k_mev_per_atom": 605.5, "lattice": [[6.646, 0.000, 0.000], [0.000, 6.646, 0.000], [0.000, 0.000, 5.287]], "species": ["Rb", "Rb", "V", "Bi", "Pb"], "fractional_positions": [[0.000, 0.500, 0.000], [0.500, 0.000, 0.000], [0.000, 0.000, 0.000], [0.000, 0.000, 0.500], [0.500, 0.500, 0.500]]}

---

{"formula": "Rb2ZnBi2Pb", "functional": "GGA-PBE", "state": "relaxed", "formation_enthalpy_0k_mev_per_atom": -239.1, "lattice": [[-3.738, 8.429, 3.763], [3.738, -8.429, 3.763], [3.738, 8.429, -3.763]], "species": ["Rb", "Rb", "Rb", "Rb", "Zn", "Zn", "Bi", "Bi", "Bi", "Bi", "Pb", "Pb"], "fractional_positions": [[0.167, 0.243, 0.410], [0.333, 0.743, 0.076], [0.667, 0.257, 0.924], [0.833, 0.757, 0.590], [0.250, 0.750, 0.500], [0.750, 0.250, 0.500], [0.095, 0.716, 0.811], [0.405, 0.216, 0.620], [0.595, 0.784, 0.380], [0.905, 0.284, 0.189], [0.250, 0.250, 0.000], [0.750, 0.750, 0.000]]}

---

{"formula": "RbZnBiPb", "functional": "GGA-PBE", "state": "relaxed", "formation_enthalpy_0k_mev_per_atom": -90.5, "lattice": [[4.460, 0.000, 0.000], [0.000, 4.460, 0.000], [0.000, 0.000, 14.904]], "species": ["Rb", "Rb", "Zn", "Zn", "Bi", "Bi", "Pb", "Pb"], "fractional_positions": [[0.250, 0.250, 0.243], [0.750, 0.750, 0.757], [0.250, 0.750, 0.500], [0.750, 0.250, 0.500], [0.250, 0.250, 0.620], [0.750, 0.750, 0.380], [0.250, 0.750, 0.000], [0.750, 0.250, 0.000]]}

---

{"formula": "Re3BiPb", "functional": "GGA-PBE", "state": "relaxed", "de_polymorph_kcal_per_mol_atoms": 0.00, "formation_enthalpy_0k_mev_per_atom": 2887.0, "lattice": [[5.053, 0.000, 0.000], [0.000, 5.053, 0.000], [0.000, 0.000, 5.053]], "species": ["Re", "Re", "Re", "Bi", "Pb"], "fractional_positions": [[0.000, 0.000, 0.500], [0.000, 0.500, 0.000], [0.500, 0.000, 0.000], [0.000, 0.000, 0.000], [0.500, 0.500, 0.500]]}

---

{"formula": "ReBi3Pb", "functional": "GGA-PBE", "state": "relaxed", "de_polymorph_kcal_per_mol_atoms": 0.00, "formation_enthalpy_0k_mev_per_atom": 718.3, "lattice": [[5.391, 0.000, 0.000], [0.000, 5.391, 0.000], [0.000, 0.000, 5.391]], "species": ["Re", "Bi", "Bi", "Bi", "Pb"], "fractional_positions": [[0.000, 0.000, 0.000], [0.000, 0.000, 0.500], [0.000, 0.500, 0.000], [0.500, 0.000, 0.000], [0.500, 0.500, 0.500]]}

---

{"formula": "ReBiPb2", "functional": "GGA-PBE", "state": "relaxed", "formation_enthalpy_0k_mev_per_atom": 1116.9, "lattice": [[-2.242, 2.242, 10.437], [2.242, -2.242, 10.437], [2.242, 2.242, -10.437]], "species": ["Re", "Re", "Bi", "Bi", "Pb", "Pb", "Pb", "Pb"], "fractional_positions": [[0.000, 0.000, 0.000], [0.750, 0.250, 0.500], [0.250, 0.750, 0.500], [0.500, 0.500, 0.000], [0.107, 0.625, 0.982], [0.375, 0.357, 0.482], [0.643, 0.125, 0.018], [0.875, 0.893, 0.518]]}

---

{"formula": "ReTcBiPb2", "functional": "GGA-PBE", "state": "relaxed", "formation_enthalpy_0k_mev_per_atom": 1042.9, "lattice": [[5.328, 0.000, 0.000], [0.000, 5.328, 0.000], [0.000, 0.000, 4.844]], "species": ["Re", "Tc", "Bi", "Pb", "Pb"], "fractional_positions": [[0.000, 0.000, 0.000], [0.000, 0.000, 0.500], [0.500, 0.500, 0.500], [0.000, 0.500, 0.000], [0.500, 0.000, 0.000]]}

---

{"formula": "ZrReBi2Pb", "functional": "GGA-PBE", "state": "relaxed", "formation_enthalpy_0k_mev_per_atom": 2036.7, "lattice": [[5.744, 0.000, 0.000], [0.000, 5.744, 0.000], [0.000, 0.000, 5.466]], "species": ["Zr", "Re", "Bi", "Bi", "Pb"], "fractional_positions": [[0.000, 0.000, 0.000], [0.500, 0.500, 0.000], [0.000, 0.500, 0.500], [0.500, 0.000, 0.500], [0.000, 0.000, 0.500]]}

---

{"formula": "BiRhPb", "functional": "GGA-PBE", "state": "relaxed", "formation_enthalpy_0k_mev_per_atom": -36.0, "lattice": [[4.476, 0.000, 0.000], [-0.007, 5.135, 0.000], [-2.229, -1.797, 6.646]], "species": ["Bi", "Bi", "Rh", "Rh", "Pb", "Pb"], "fractional_positions": [[0.241, 0.246, 0.482], [0.759, 0.754, 0.518], [0.127, 0.651, 0.253], [0.873, 0.349, 0.747], [0.000, 0.000, 0.000], [0.500, 0.500, 0.000]]}